one:
A plane-wave DFT calculation with GGA-PBE was carried out for crystalline InFe3P at its relaxed geometry.

Calculated values
- DOS at the Fermi energy: 2.44 states/eV per cell

```
data_InFe3P
_chemical_formula_sum 'In1 Fe3 P1'
_cell_length_a 4.2169
_cell_length_b 4.2169
_cell_length_c 4.2169
_cell_angle_alpha 90.00
_cell_angle_beta 90.00
_cell_angle_gamma 90.00
_symmetry_space_group_name_H-M 'P m -3 m'
_symmetry_Int_Tables_number 221
_symmetry_space_group_name_Hall '-P 4 2 3'
loop_
_atom_site_label
_atom_site_type_symbol
_atom_site_fract_x
_atom_site_fract_y
_atom_site_fract_z
In1 In 0.0000 0.0000 0.0000
Fe1 Fe 0.0000 0.5000 0.5000
P1 P 0.5000 0.5000 0.5000
```

two:
A plane-wave DFT calculation with GGA-PBE was carried out for crystalline InFe3P at its relaxed geometry.

Calculated values
- DOS at the Fermi energy: 7.97 states/eV per cell

```
data_InFe3P
_chemical_formula_sum 'In1 Fe3 P1'
_cell_length_a 4.7401
_cell_length_b 4.7401
_cell_length_c 4.7401
_cell_angle_alpha 90.00
_cell_angle_beta 90.00
_cell_angle_gamma 90.00
_symmetry_space_group_name_H-M 'P m -3 m'
_symmetry_Int_Tables_number 221
_symmetry_space_group_name_Hall '-P 4 2 3'
loop_
_atom_site_label
_atom_site_type_symbol
_atom_site_fract_x
_atom_site_fract_y
_atom_site_fract_z
In1 In 0.0000 0.0000 0.0000
Fe1 Fe 0.0000 0.0000 0.5000
P1 P 0.5000 0.5000 0.5000
```

Least stable structure: two

one:
A plane-wave DFT calculation with GGA-PBE was carried out for crystalline In3FeP at its relaxed geometry.

Calculated values
- DOS at the Fermi energy: 8.30 states/eV per cell

```
data_In3FeP
_chemical_formula_sum 'In3 Fe1 P1'
_cell_length_a 5.1703
_cell_length_b 5.1703
_cell_length_c 5.1703
_cell_angle_alpha 90.00
_cell_angle_beta 90.00
_cell_angle_gamma 90.00
_symmetry_space_group_name_H-M 'P m -3 m'
_symmetry_Int_Tables_number 221
_symmetry_space_group_name_Hall '-P 4 2 3'
loop_
_atom_site_label
_atom_site_type_symbol
_atom_site_fract_x
_atom_site_fract_y
_atom_site_fract_z
In1 In 0.0000 0.0000 0.5000
Fe1 Fe 0.5000 0.5000 0.5000
P1 P 0.0000 0.0000 0.0000
```

two:
A plane-wave DFT calculation with GGA-PBE was carried out for crystalline In3FeP at its relaxed geometry.

Calculated values
- DOS at the Fermi energy: 4.21 states/eV per cell

```
data_In3FeP
_chemical_formula_sum 'In3 Fe1 P1'
_cell_length_a 5.0201
_cell_length_b 5.0201
_cell_length_c 5.0201
_cell_angle_alpha 90.00
_cell_angle_beta 90.00
_cell_angle_gamma 90.00
_symmetry_space_group_name_H-M 'P m -3 m'
_symmetry_Int_Tables_number 221
_symmetry_space_group_name_Hall '-P 4 2 3'
loop_
_atom_site_label
_atom_site_type_symbol
_atom_site_fract_x
_atom_site_fract_y
_atom_site_fract_z
In1 In 0.0000 0.0000 0.5000
Fe1 Fe 0.0000 0.0000 0.0000
P1 P 0.5000 0.5000 0.5000
```

Least stable structure: one

one:
A plane-wave DFT calculation with GGA-PBE was carried out for crystalline InFeP3 at its relaxed geometry.

Calculated values
- DOS at the Fermi energy: 5.32 states/eV per cell

```
data_InFeP3
_chemical_formula_sum 'In1 Fe1 P3'
_cell_length_a 4.4566
_cell_length_b 4.4566
_cell_length_c 4.4566
_cell_angle_alpha 90.00
_cell_angle_beta 90.00
_cell_angle_gamma 90.00
_symmetry_space_group_name_H-M 'P m -3 m'
_symmetry_Int_Tables_number 221
_symmetry_space_group_name_Hall '-P 4 2 3'
loop_
_atom_site_label
_atom_site_type_symbol
_atom_site_fract_x
_atom_site_fract_y
_atom_site_fract_z
In1 In 0.0000 0.0000 0.0000
Fe1 Fe 0.5000 0.5000 0.5000
P1 P 0.0000 0.5000 0.5000
```

two:
A plane-wave DFT calculation with GGA-PBE was carried out for crystalline InFeP3 at its relaxed geometry.

Calculated values
- DOS at the Fermi energy: 6.78 states/eV per cell

```
data_InFeP3
_chemical_formula_sum 'In2 Fe2 P6'
_cell_length_a 3.7540
_cell_length_b 3.7540
_cell_length_c 15.0119
_cell_angle_alpha 90.00
_cell_angle_beta 90.00
_cell_angle_gamma 120.00
_symmetry_space_group_name_H-M 'P 63/m m c'
_symmetry_Int_Tables_number 194
_symmetry_space_group_name_Hall '-P 6c 2c'
loop_
_atom_site_label
_atom_site_type_symbol
_atom_site_fract_x
_atom_site_fract_y
_atom_site_fract_z
In1 In 0.0000 0.0000 0.0000
Fe1 Fe 0.3333 0.6667 0.2500
P1 P 0.0000 0.0000 0.2500
P2 P 0.3333 0.6667 0.1051
```

Least stable structure: one

one:
A plane-wave DFT calculation with GGA-PBE was carried out for crystalline InFePb at its relaxed geometry.

Calculated values
- DOS at the Fermi energy: 3.86 states/eV per cell

```
data_InFePb
_chemical_formula_sum 'In1 Fe1 Pb1'
_cell_length_a 4.7190
_cell_length_b 4.7190
_cell_length_c 3.5728
_cell_angle_alpha 90.00
_cell_angle_beta 90.00
_cell_angle_gamma 120.00
_symmetry_space_group_name_H-M 'P 3 m 1'
_symmetry_Int_Tables_number 156
_symmetry_space_group_name_Hall 'P 3 -2"'
loop_
_atom_site_label
_atom_site_type_symbol
_atom_site_fract_x
_atom_site_fract_y
_atom_site_fract_z
In1 In 0.0000 0.0000 0.0000
Fe1 Fe 0.3333 0.6667 0.9477
Pb1 Pb 0.6667 0.3333 0.5007
```

two:
A plane-wave DFT calculation with GGA-PBE was carried out for crystalline InFePb at its relaxed geometry.

Calculated values
- DOS at the Fermi energy: 6.95 states/eV per cell

```
data_InFePb
_chemical_formula_sum 'In2 Fe2 Pb2'
_cell_length_a 3.2021
_cell_length_b 3.2021
_cell_length_c 13.1122
_cell_angle_alpha 90.00
_cell_angle_beta 90.00
_cell_angle_gamma 90.00
_symmetry_space_group_name_H-M 'I 4 m m'
_symmetry_Int_Tables_number 107
_symmetry_space_group_name_Hall 'I 4 -2'
loop_
_atom_site_label
_atom_site_type_symbol
_atom_site_fract_x
_atom_site_fract_y
_atom_site_fract_z
In1 In 0.0000 0.0000 0.0000
Fe1 Fe 0.0000 0.0000 0.3763
Pb1 Pb 0.0000 0.0000 0.7269
```

Least stable structure: one

one:
A plane-wave DFT calculation with GGA-PBE was carried out for crystalline InFe2Pd2 at its relaxed geometry.

Calculated values
- DOS at the Fermi energy: 6.52 states/eV per cell

```
data_InFe2Pd2
_chemical_formula_sum 'In2 Fe4 Pd4'
_cell_length_a 7.4730
_cell_length_b 7.4730
_cell_length_c 2.8557
_cell_angle_alpha 90.00
_cell_angle_beta 90.00
_cell_angle_gamma 90.00
_symmetry_space_group_name_H-M 'P 4/m b m'
_symmetry_Int_Tables_number 127
_symmetry_space_group_name_Hall '-P 4 2ab'
loop_
_atom_site_label
_atom_site_type_symbol
_atom_site_fract_x
_atom_site_fract_y
_atom_site_fract_z
In1 In 0.0000 0.0000 0.0000
Fe1 Fe 0.1625 0.3375 0.5000
Pd1 Pd 0.1326 0.6325 0.0000
```

two:
A plane-wave DFT calculation with GGA-PBE was carried out for crystalline InFe2Pd2 at its relaxed geometry.

Calculated values
- DOS at the Fermi energy: 16.70 states/eV per cell

```
data_InFe2Pd2
_chemical_formula_sum 'In2 Fe4 Pd4'
_cell_length_a 6.5731
_cell_length_b 6.5731
_cell_length_c 3.4937
_cell_angle_alpha 90.00
_cell_angle_beta 90.00
_cell_angle_gamma 90.00
_symmetry_space_group_name_H-M 'P 4/m b m'
_symmetry_Int_Tables_number 127
_symmetry_space_group_name_Hall '-P 4 2ab'
loop_
_atom_site_label
_atom_site_type_symbol
_atom_site_fract_x
_atom_site_fract_y
_atom_site_fract_z
In1 In 0.0000 0.0000 0.0000
Fe1 Fe 0.1121 0.3879 0.0000
Pd1 Pd 0.1767 0.6767 0.5000
```

Least stable structure: two

one:
A plane-wave DFT calculation with GGA-PBE was carried out for crystalline RbIn3Fe at its relaxed geometry.

Calculated values
- DOS at the Fermi energy: 16.26 states/eV per cell

```
data_RbIn3Fe
_chemical_formula_sum 'Rb1 In3 Fe1'
_cell_length_a 6.2193
_cell_length_b 6.2193
_cell_length_c 6.2193
_cell_angle_alpha 90.00
_cell_angle_beta 90.00
_cell_angle_gamma 90.00
_symmetry_space_group_name_H-M 'P m -3 m'
_symmetry_Int_Tables_number 221
_symmetry_space_group_name_Hall '-P 4 2 3'
loop_
_atom_site_label
_atom_site_type_symbol
_atom_site_fract_x
_atom_site_fract_y
_atom_site_fract_z
Rb1 Rb 0.0000 0.0000 0.0000
In1 In 0.0000 0.0000 0.5000
Fe1 Fe 0.5000 0.5000 0.5000
```

two:
A plane-wave DFT calculation with GGA-PBE was carried out for crystalline RbIn3Fe at its relaxed geometry.

Calculated values
- DOS at the Fermi energy: 0.22 states/eV per cell

```
data_RbIn3Fe
_chemical_formula_sum 'Rb1 In3 Fe1'
_cell_length_a 5.1269
_cell_length_b 5.1269
_cell_length_c 5.1269
_cell_angle_alpha 90.00
_cell_angle_beta 90.00
_cell_angle_gamma 90.00
_symmetry_space_group_name_H-M 'P m -3 m'
_symmetry_Int_Tables_number 221
_symmetry_space_group_name_Hall '-P 4 2 3'
loop_
_atom_site_label
_atom_site_type_symbol
_atom_site_fract_x
_atom_site_fract_y
_atom_site_fract_z
Rb1 Rb 0.0000 0.0000 0.0000
In1 In 0.0000 0.5000 0.5000
Fe1 Fe 0.5000 0.5000 0.5000
```

Least stable structure: one